Here is a relaxed structure of NbZnNiRh from Alexandria via LeMat-Bulk. Energies are from PBE.

CIF file:
```
data_NbZnNiRh
_cell_length_a 6.132
_cell_length_b 6.132
_cell_length_c 6.132
_cell_angle_alpha 90.00
_cell_angle_beta 90.00
_cell_angle_gamma 90.00
_space_group_name_H-M_alt 'F -4 3 m'
_space_group_IT_number 216
_space_group_name_Hall 'F -4 2 3'
loop_
_atom_site_label
_atom_site_type_symbol
_atom_site_fract_x
_atom_site_fract_y
_atom_site_fract_z
Nb1 Nb 0.000 0.000 0.000
Zn1 Zn 0.000 0.000 0.500
Ni1 Ni 0.250 0.250 0.750
Rh1 Rh 0.250 0.250 0.250
```

Values from the calculation:
ΔE to the lowest computed polymorph	60	meV/atom
energy	-6.419	eV per atom
E_form	-0.30	eV/atom

Here is a relaxed structure of BeCrTe2 from Alexandria via LeMat-Bulk. Energies are from PBE.

CIF file:
```
data_BeCrTe2
_cell_length_a 3.282
_cell_length_b 3.282
_cell_length_c 7.441
_cell_angle_alpha 90.00
_cell_angle_beta 90.00
_cell_angle_gamma 90.00
_space_group_name_H-M_alt 'P 4 m m'
_space_group_IT_number 99
_space_group_name_Hall 'P 4 -2'
loop_
_atom_site_label
_atom_site_type_symbol
_atom_site_fract_x
_atom_site_fract_y
_atom_site_fract_z
Be1 Be 0.000 0.000 0.000
Cr1 Cr 0.500 0.500 0.144
Te1 Te 0.000 0.000 0.332
Te2 Te 0.500 0.500 0.801
```

Values from the calculation:
energy	-4.706	eV per atom